Record 1
Material: SiNiCl2
Method: DFT, PBE
State: optimized geometry

Summary:
* magnetic moment: 0.0 Bohr magnetons per cell
* formation energy (no corrections): -0.01 eV per atom
* N(E_F): 2.09 states/eV per cell

Unit cell a=7.631 b=7.631 c=7.631 alpha=156.32 beta=151.37 gamma=37.48
Element x y z (fractional)
Si 0.000 0.000 0.000
Ni 0.882 0.382 0.500
Cl 0.343 0.843 0.500
Cl 0.590 0.590 0.000

***

Record 2
Material: ThIn5Hg6
Method: DFT, PBE
State: optimized geometry

Summary:
* ΔE_f: -66 meV/atom
* magnetic moment: 0.0 Bohr magnetons per cell
* N(E_F): 6.30 states/eV per cell

Unit cell a=4.970 b=7.746 c=8.232 alpha=90.00 beta=101.52 gamma=90.00
Element x y z (fractional)
Th 0.000 0.000 0.000
In 0.000 0.500 0.000
In 0.349 0.500 0.655
In 0.384 0.000 0.686
In 0.616 0.000 0.314
In 0.651 0.500 0.345
Hg 0.138 0.242 0.339
Hg 0.138 0.758 0.339
Hg 0.500 0.271 0.000
Hg 0.500 0.729 0.000
Hg 0.862 0.242 0.661
Hg 0.862 0.758 0.661

***

Record 3
Material: Y4Tm5Sc4
Method: DFT, PBE
State: optimized geometry

Summary:
* ΔE_f: 51 meV/atom
* magnetic moment: 0.0 Bohr magnetons per cell
* N(E_F): 21.23 states/eV per cell

Unit cell a=9.113 b=9.113 c=9.113 alpha=94.10 beta=94.10 gamma=148.96
Element x y z (fractional)
Y 0.080 0.620 0.700
Y 0.380 0.080 0.460
Y 0.620 0.920 0.540
Y 0.920 0.380 0.300
Tm 0.000 0.000 0.000
Tm 0.310 0.457 0.767
Tm 0.457 0.690 0.148
Tm 0.543 0.310 0.852
Tm 0.690 0.543 0.233
Sc 0.154 0.231 0.386
Sc 0.231 0.846 0.077
Sc 0.769 0.154 0.923
Sc 0.846 0.769 0.614

***

Record 4
Material: LaBe3Al
Method: DFT, PBE
State: optimized geometry

Summary:
* ΔE_f: 1993 meV/atom
* magnetic moment: 0.0 Bohr magnetons per cell
* N(E_F): 5.32 states/eV per cell

Unit cell a=5.022 b=5.022 c=5.022 alpha=90.00 beta=90.00 gamma=90.00
Element x y z (fractional)
La 0.000 0.000 0.000
Be 0.000 0.000 0.500
Be 0.000 0.500 0.000
Be 0.500 0.000 0.000
Al 0.500 0.500 0.500

***

Record 5
Material: TcPbIO4
Method: DFT, PBE
State: optimized geometry

Summary:
* magnetic moment: 0.0 Bohr magnetons per cell
* formation energy (no corrections): -1.22 eV per atom
* N(E_F): 0.00 states/eV per cell

Unit cell a=7.103 b=7.103 c=8.139 alpha=107.18 beta=107.18 gamma=67.53
Element x y z (fractional)
Tc 0.133 0.133 0.268
Tc 0.867 0.867 0.732
Pb 0.295 0.295 0.839
Pb 0.705 0.705 0.161
I 0.473 0.473 0.241
I 0.527 0.527 0.759
O 0.001 0.361 0.185
O 0.023 0.023 0.797
O 0.196 0.196 0.497
O 0.361 0.001 0.185
O 0.639 0.999 0.815
O 0.804 0.804 0.503
O 0.977 0.977 0.203
O 0.999 0.639 0.815